# PBE Ta4NiP, relaxed
# total magnetization	0.00	μB per cell
# total energy	-8.997	eV per atom
# energy of formation from the pure elements	0.77	eV per atom
data_Ta4NiP
_chemical_formula_sum 'Ta16 Ni4 P4'
_symmetry_space_group_name_H-M 'F -4 3 m'
_symmetry_Int_Tables_number 216
_symmetry_space_group_name_Hall 'F -4 2 3'
_cell_length_a 7.5906
_cell_length_b 7.5906
_cell_length_c 7.5906
_cell_angle_alpha 90.00
_cell_angle_beta 90.00
_cell_angle_gamma 90.00
loop_
_atom_site_label
_atom_site_type_symbol
_atom_site_fract_x
_atom_site_fract_y
_atom_site_fract_z
Ta1 Ta 0.1253 0.1253 0.1253
Ni1 Ni 0.0000 0.0000 0.5000
P1 P 0.2500 0.2500 0.7500